## RbReTeAuSe2 (PBE)

Data for a relaxed RbReTeAuSe2 crystal.

Lattice parameters (Å, degrees): 8.769 8.769 10.645 90.00 90.00 155.02
Last column: magnetic moment on the atom in μB.
Fractional coordinates of all 12 atoms:
Au1 0.394 0.606 0.250  0.05
Au2 0.606 0.394 0.750  0.05
Rb1 0.731 0.269 0.250  0.01
Rb2 0.269 0.731 0.750  0.01
Re1 0.000 0.000 0.000  1.90
Re2 0.000 0.000 0.500  1.90
Se1 0.397 0.603 0.019  0.04
Se2 0.397 0.603 0.481  0.04
Se3 0.603 0.397 0.519  0.04
Se4 0.603 0.397 0.981  0.04
Te1 0.048 0.952 0.250  0.00
Te2 0.952 0.048 0.750  0.00

Results
SG = Cmcm (63)
magnetization = 2.32 μB/f.u.
total energy = -4.588 eV/atom